Entry 1:
Crystalline FeSbN3 at its relaxed geometry, computed with PBE.

Values from the calculation:
Formation energy from raw total energies   1.1312 eV per atom
Density of states at the Fermi level   0.947 states/eV per atom
Raw total energy   -6.38 eV per atom
Symmetry   Pm-3m (221)

abc: 3.7397 3.7397 3.7397
angles: 90.00 90.00 90.00
Closest atoms and distances in Å follow each position.
Positions (direct):
1 N 0.5000 0.0000 0.0000  2 Fe 1.87
2 N 0.0000 0.5000 0.0000  2 Fe 1.87
3 Sb 0.5000 0.5000 0.5000  12 N 2.64
4 N 0.0000 0.0000 0.5000  2 Fe 1.87
5 Fe 0.0000 0.0000 0.0000  6 N 1.87

---

Entry 2:
Crystalline SrSn2Ru at its relaxed geometry, computed with PBE.

Values from the calculation:
Calculated formation energy   -286.3 meV per atom
Density of states at the Fermi level   0.970 states/eV per atom
Raw total energy   -5.03 eV per atom
Symmetry   R-3m (166)

abc: 4.4964 4.4964 6.4532
angles: 69.61 69.61 60.00
Closest atoms and distances in Å follow each position.
Positions (direct):
1 Sn 0.7161 0.7161 0.8517  3 Ru 2.74
2 Sn 0.2839 0.2839 0.1483  3 Ru 2.74
3 Sr 0.5000 0.5000 0.5000  6 Sn 3.33
4 Ru 0.0000 0.0000 0.0000  6 Sn 2.74